Record 1
Density functional theory data (GGA-PBE) for HfScZnBi2 after structural relaxation.

Properties
- energy of formation (eV/atom) = 0.7051
- magnetic moment (μB/cell) = 0.52
- crystal system = tetragonal

a = 5.494 Å, b = 5.494 Å, c = 4.973 Å
α = 90.00°, β = 90.00°, γ = 90.00°
Space group P4/mmm (No. 123)
One atom of each set of equivalent atoms:
Hf (0.000, 0.000, 0.000) x1
Sc (0.500, 0.500, 0.500) x1
Zn (0.500, 0.500, 0.000) x1
Bi (0.000, 0.500, 0.500) x2

Record 2
Density functional theory data (GGA-PBE) for HfBiSe2 after structural relaxation.

Properties
- E_form (uncorrected) (eV/atom) = -0.873
- magnetic moment (μB/cell) = 0.00
- crystal system = trigonal

a = 3.6500 Å, b = 3.6500 Å, c = 28.0639 Å
α = 90.00°, β = 90.00°, γ = 120.00°
Space group R-3m (No. 166, hexagonal axes)
One atom of each set of equivalent atoms:
Hf (0.0000, 0.0000, 0.0000) x3
Bi (0.0000, 0.0000, 0.5000) x3
Se (0.0000, 0.0000, 0.3922) x6

Record 3
Density functional theory data (GGA-PBE) for HfBi2Se after structural relaxation.

Properties
- E_form (uncorrected) (eV/atom) = 0.489
- magnetic moment (μB/cell) = 0.00
- crystal system = tetragonal

a = 6.503 Å, b = 6.503 Å, c = 14.483 Å
α = 90.00°, β = 90.00°, γ = 90.00°
Space group I-42d (No. 122)
One atom of each set of equivalent atoms:
Hf (0.000, 0.000, 0.000) x4
Bi (0.240, 0.250, 0.125) x8
Se (0.000, 0.000, 0.500) x4

Record 4
Density functional theory data (GGA-PBE) for HfBiSe4 after structural relaxation.

Properties
- E_form (uncorrected) (eV/atom) = -0.726
- magnetic moment (μB/cell) = 0.00
- crystal system = monoclinic

a = 13.089 Å, b = 3.848 Å, c = 7.042 Å
α = 90.00°, β = 94.23°, γ = 90.00°
Space group C2/m (No. 12)
One atom of each set of equivalent atoms:
Hf (0.000, 0.000, 0.000) x2
Bi (0.000, 0.500, 0.500) x2
Se (0.120, 0.500, 0.866) x4
Se (0.126, 0.000, 0.319) x4